# 1
Density functional theory data (PBE) for crystalline La6CdPb at its relaxed geometry.

It has space group P4/mmm (No. 123), with a = 5.088 Å, b = 5.088 Å, c = 10.079 Å, α = 90.00°, β = 90.00° and γ = 90.00°. The asymmetric unit holds La at (0.000, 0.000, 0.000), La at (0.000, 0.000, 0.500), La at (0.000, 0.500, 0.250), Cd at (0.500, 0.500, 0.000) and Pb at (0.500, 0.500, 0.500).

The value obtained for the energy of formation from the pure elements is -2.08 eV per formula unit.

# 2
Density functional theory data (PBE) for crystalline AcPm2SmIn4 at its relaxed geometry.

It has space group R-3m (No. 166, hexagonal axes), with a = 5.5294 Å, b = 5.5294 Å, c = 27.1694 Å, α = 90.00°, β = 90.00° and γ = 120.00°. The asymmetric unit holds Ac at (0.0000, 0.0000, 0.0000), Pm at (0.0000, 0.0000, 0.2497), Sm at (0.0000, 0.0000, 0.5000), In at (0.0000, 0.0000, 0.1277) and In at (0.0000, 0.0000, 0.3783).

The value obtained for the energy of formation from the pure elements is -3.62 eV per formula unit.

# 3
Density functional theory data (PBE) for crystalline Tm2Zn16Ge at its relaxed geometry.

It has space group R3m (No. 160, hexagonal axes), with a = 9.0647 Å, b = 9.0647 Å, c = 12.9221 Å, α = 90.00°, β = 90.00° and γ = 120.00°. The asymmetric unit holds Tm at (0.0000, 0.0000, 0.0000), Tm at (0.0000, 0.0000, 0.3321), Zn at (0.0000, 0.0000, 0.7611), Zn at (0.9998, 0.3112, 0.6656), Zn at (0.0144, 0.5072, 0.8215), Zn at (0.1722, 0.3445, 0.4995), Zn at (0.1720, 0.3440, 0.8424) and Ge at (0.0000, 0.0000, 0.5624).

The value obtained for the energy of formation from the pure elements is -3.65 eV per formula unit.

# 4
Density functional theory data (PBE) for crystalline LiW2Cl at its relaxed geometry.

It has space group Pmmm (No. 47), with a = 3.000 Å, b = 4.114 Å, c = 6.908 Å, α = 90.00°, β = 90.00° and γ = 90.00°. The asymmetric unit holds Li at (0.000, 0.000, 0.000), W at (0.000, 0.500, 0.500), W at (0.500, 0.000, 0.500) and Cl at (0.500, 0.500, 0.000).

The value obtained for the energy above the most stable polymorph in this dataset is 59.11 kJ per mole of atoms. The calculation puts the uncorrected formation energy at 0.660 eV per atom.

# 5
Density functional theory data (PBE) for crystalline TiNb2F at its relaxed geometry.

It has space group Fm-3m (No. 225), with a = 6.368 Å, b = 6.368 Å, c = 6.368 Å, α = 90.00°, β = 90.00° and γ = 90.00°. The asymmetric unit holds Ti at (0.000, 0.000, 0.000), Nb at (0.250, 0.250, 0.250) and F at (0.000, 0.000, 0.500).

The value obtained for the energy above the most stable polymorph in this dataset is 0.00 kJ per mole of atoms. The calculation puts the uncorrected formation energy at 0.291 eV per atom.

# 6
Density functional theory data (PBE) for crystalline KRb2LiF at its relaxed geometry.

It has space group P4/mmm (No. 123), with a = 6.039 Å, b = 6.039 Å, c = 5.586 Å, α = 90.00°, β = 90.00° and γ = 90.00°. The asymmetric unit holds K at (0.000, 0.000, 0.000), Rb at (0.000, 0.500, 0.500), Li at (0.500, 0.500, 0.000) and F at (0.000, 0.000, 0.500).

The calculation puts the uncorrected formation energy at -0.938 eV per atom.

# 7
Density functional theory data (PBE) for crystalline PmPrCu4 at its relaxed geometry.

It has space group Imm2 (No. 44), with a = 4.350 Å, b = 7.182 Å, c = 7.472 Å, α = 90.00°, β = 90.00° and γ = 90.00°. The asymmetric unit holds Pm at (0.000, 0.000, 0.000), Pr at (0.000, 0.500, 0.933), Cu at (0.000, 0.208, 0.634) and Cu at (0.000, 0.294, 0.303).

The value obtained for the energy of formation from the pure elements is -1.26 eV per formula unit. The value obtained for the energy above the most stable polymorph in this dataset is 0.00 kJ per mole of atoms.

# 8
Density functional theory data (PBE) for crystalline Nb2VSb at its relaxed geometry.

It has space group I-42d (No. 122), with a = 3.965 Å, b = 3.965 Å, c = 20.038 Å, α = 90.00°, β = 90.00° and γ = 90.00°. The asymmetric unit holds Nb at (0.249, 0.250, 0.125), V at (0.000, 0.000, 0.000) and Sb at (0.000, 0.000, 0.500).

The calculation puts the uncorrected formation energy at 0.433 eV per atom.

# 9
Density functional theory data (PBE) for crystalline Ca2ThAg at its relaxed geometry.

It has space group P4/mmm (No. 123), with a = 3.531 Å, b = 3.531 Å, c = 9.784 Å, α = 90.00°, β = 90.00° and γ = 90.00°. The asymmetric unit holds Ca at (0.000, 0.000, 0.206), Th at (0.500, 0.500, 0.500) and Ag at (0.500, 0.500, 0.000).

The value obtained for the energy of formation from the pure elements is -0.04 eV per formula unit. The value obtained for the energy above the most stable polymorph in this dataset is 0.00 kJ per mole of atoms.

# 10
Density functional theory data (PBE) for crystalline NaTc2B2 at its relaxed geometry.

It has space group P4/mbm (No. 127), with a = 6.566 Å, b = 6.566 Å, c = 2.765 Å, α = 90.00°, β = 90.00° and γ = 90.00°. The asymmetric unit holds Na at (0.000, 0.000, 0.000), Tc at (0.141, 0.359, 0.000) and B at (0.135, 0.635, 0.500).

The value obtained for the energy of formation from the pure elements is 2.50 eV per formula unit. The value obtained for the energy above the most stable polymorph in this dataset is 17.71 kJ per mole of atoms.

# 11
Density functional theory data (PBE) for crystalline LaHfTcPd2 at its relaxed geometry.

It has space group P4/mmm (No. 123), with a = 4.840 Å, b = 4.840 Å, c = 5.468 Å, α = 90.00°, β = 90.00° and γ = 90.00°. The asymmetric unit holds La at (0.000, 0.000, 0.000), Hf at (0.000, 0.000, 0.500), Tc at (0.500, 0.500, 0.500) and Pd at (0.000, 0.500, 0.000).

The value obtained for the energy of formation from the pure elements is 8.40 eV per formula unit.

# 12
Density functional theory data (PBE) for crystalline Sm2ErAs3Rh4 at its relaxed geometry.

It has space group P-4m2 (No. 115), with a = 4.106 Å, b = 4.106 Å, c = 11.416 Å, α = 90.00°, β = 90.00° and γ = 90.00°. The asymmetric unit holds Sm at (0.000, 0.500, 0.225), Er at (0.000, 0.000, 0.500), As at (0.000, 0.500, 0.871), As at (0.500, 0.500, 0.500), Rh at (0.000, 0.000, 0.000), Rh at (0.000, 0.500, 0.659) and Rh at (0.500, 0.500, 0.000).

The value obtained for the energy of formation from the pure elements is -9.73 eV per formula unit.

# 13
Density functional theory data (PBE) for crystalline MgCd2In2Hg4 at its relaxed geometry.

It has space group C2/m (No. 12), with a = 15.221 Å, b = 4.328 Å, c = 7.113 Å, α = 90.00°, β = 109.47° and γ = 90.00°. The asymmetric unit holds Mg at (0.000, 0.000, 0.000), Cd at (0.108, 0.000, 0.643), In at (0.166, 0.500, 0.991), Hg at (0.048, 0.500, 0.310) and Hg at (0.222, 0.000, 0.332).

The value obtained for the energy of formation from the pure elements is -0.12 eV per formula unit.